No. 1
DFT (PBE) results for a relaxed Cu3AuS crystal.

Unit cell a=4.7409 b=4.7409 c=4.7409 alpha=90.00 beta=90.00 gamma=90.00
Closest atoms and distances in Å follow each position.
Fractional coordinates of all 5 atoms:
1 Cu 0.0000 0.0000 0.5000  2 Au 2.37
2 Cu 0.0000 0.5000 0.0000  2 Au 2.37
3 Cu 0.5000 0.0000 0.0000  2 Au 2.37
4 Au 0.0000 0.0000 0.0000  6 Cu 2.37
5 S 0.5000 0.5000 0.5000  12 Cu 3.35

The value obtained for the relative energy among the computed polymorphs is 720.5 meV per atom. The value obtained for the formation energy (no corrections) is 454 kJ/mol of formula units. The calculation puts the density at 6.5 g cm⁻³. The calculation puts the calculated volume at 107 Å³/f.u. As for the space group: No. 221. The value obtained for the magnetization is 0.00 μB per atom.



No. 2
DFT (PBE) results for a relaxed CsSc2AgSe4 crystal.

Unit cell a=8.5811 b=8.5811 c=14.8482 alpha=90.00 beta=90.00 gamma=153.87
Closest atoms and distances in Å follow each position.
Fractional coordinates of all 16 atoms:
1 Cs 0.1689 0.8311 0.7500  6 Se 3.66-3.74, 2 Cs 3.88, 2 Ag 3.92
2 Cs 0.8311 0.1689 0.2500  6 Se 3.66-3.74, 2 Cs 3.88, 2 Ag 3.92
3 Sc 0.4111 0.5889 0.5893  5 Se 2.67-2.78
4 Sc 0.4111 0.5889 0.9107  5 Se 2.67-2.78
5 Sc 0.5889 0.4111 0.0893  5 Se 2.67-2.78
6 Sc 0.5889 0.4111 0.4107  5 Se 2.67-2.78
7 Ag 0.1274 0.8726 0.2500  4 Se 2.58-2.68
8 Ag 0.8726 0.1274 0.7500  4 Se 2.58-2.68
9 Se 0.0000 0.0000 0.0000  4 Sc 2.78
10 Se 0.0000 0.0000 0.5000  4 Sc 2.78
11 Se 0.1981 0.8019 0.0953  1 Ag 2.58, 2 Sc 2.67
12 Se 0.1981 0.8019 0.4047  1 Ag 2.58, 2 Sc 2.67
13 Se 0.4832 0.5168 0.7500  2 Sc 2.67, 2 Ag 2.68
14 Se 0.5168 0.4832 0.2500  2 Sc 2.67, 2 Ag 2.68
15 Se 0.8019 0.1981 0.5953  1 Ag 2.58, 2 Sc 2.67
16 Se 0.8019 0.1981 0.9047  1 Ag 2.58, 2 Sc 2.67

The value obtained for the formation energy (no corrections) is -990 kJ/mol of formula units. The calculation puts the density at 4.5 g cm⁻³. The calculation puts the calculated volume at 241 Å³/f.u. As for the space group: No. 63. The value obtained for the magnetization is 0.00 μB per atom.



No. 3
DFT (PBE) results for a relaxed Li2As2N crystal.

Unit cell a=6.0879 b=6.0879 c=6.0879 alpha=143.43 beta=143.43 gamma=52.68
Closest atoms and distances in Å follow each position.
Fractional coordinates of all 5 atoms:
1 Li 0.2500 0.7500 0.5000  4 As 2.50, 4 Li 2.70
2 Li 0.7500 0.2500 0.5000  4 As 2.50, 4 Li 2.70
3 As 0.1023 0.1023 0.0000  1 As 2.23, 4 Li 2.50
4 As 0.8977 0.8977 0.0000  1 As 2.23, 4 Li 2.50
5 N 0.5000 0.5000 0.0000  8 As 2.92

The value obtained for the relative energy among the computed polymorphs is 601.2 meV per atom. The value obtained for the formation energy (no corrections) is 424 kJ/mol of formula units. The calculation puts the density at 3.7 g cm⁻³. The calculation puts the calculated volume at 80 Å³/f.u. As for the space group: No. 139. The value obtained for the magnetization is 0.00 μB per atom.



No. 4
DFT (PBE) results for a relaxed PaCuSiNi6 crystal.

Unit cell a=7.0853 b=7.0853 c=7.0853 alpha=126.60 beta=111.65 gamma=91.99
Closest atoms and distances in Å follow each position.
Fractional coordinates of all 18 atoms:
1 Pa 0.4797 0.2297 0.2500  9 Ni 2.71-2.92, 2 Si 3.01
2 Pa 0.5203 0.7703 0.7500  9 Ni 2.71-2.92, 2 Si 3.01
3 Cu 0.0000 0.0000 0.5000  6 Ni 2.30-2.42
4 Cu 0.0000 0.5000 0.0000  6 Ni 2.30-2.42
5 Si 0.0000 0.0000 0.0000  6 Ni 2.15-2.28
6 Si 0.5000 0.0000 0.5000  6 Ni 2.15-2.28
7 Ni 0.1320 0.4268 0.3099  1 Si 2.28, 1 Cu 2.42, 2 Ni 2.45-2.52
8 Ni 0.1320 0.8221 0.7052  1 Si 2.28, 1 Cu 2.42, 2 Ni 2.45-2.52
9 Ni 0.1683 0.9183 0.2500  2 Si 2.15, 2 Cu 2.30
10 Ni 0.2450 0.4950 0.7500  8 Ni 2.63-2.68, 1 Pa 2.71, 2 Cu 2.89
11 Ni 0.3831 0.1779 0.8099  1 Si 2.28, 1 Cu 2.42, 2 Ni 2.45-2.52
12 Ni 0.3831 0.5732 0.2052  1 Si 2.28, 1 Cu 2.42, 2 Ni 2.45-2.52
13 Ni 0.6169 0.4268 0.7948  1 Si 2.28, 1 Cu 2.42, 2 Ni 2.45-2.52
14 Ni 0.6169 0.8221 0.1901  1 Si 2.28, 1 Cu 2.42, 2 Ni 2.45-2.52
15 Ni 0.7550 0.5050 0.2500  8 Ni 2.63-2.68, 1 Pa 2.71, 2 Cu 2.89
16 Ni 0.8317 0.0817 0.7500  2 Si 2.15, 2 Cu 2.30
17 Ni 0.8680 0.1779 0.2948  1 Si 2.28, 1 Cu 2.42, 2 Ni 2.45-2.52
18 Ni 0.8680 0.5732 0.6901  1 Si 2.28, 1 Cu 2.42, 2 Ni 2.45-2.52

The value obtained for the formation energy (no corrections) is -25 kJ/mol of formula units. The calculation puts the density at 9.0 g cm⁻³. The calculation puts the calculated volume at 125 Å³/f.u. As for the space group: No. 74. The value obtained for the magnetization is 0.00 μB per atom.



No. 5
DFT (PBE) results for a relaxed Pu3Cl7 crystal.

Unit cell a=9.7048 b=9.7048 c=6.3761 alpha=90.00 beta=90.00 gamma=120.00
Closest atoms and distances in Å follow each position.
Fractional coordinates of all 20 atoms:
1 Pu 0.1914 0.3828 0.0000  6 Cl 2.79-2.88
2 Pu 0.1914 0.8086 0.0000  6 Cl 2.79-2.88
3 Pu 0.3828 0.1914 0.5000  6 Cl 2.79-2.88
4 Pu 0.6172 0.8086 0.0000  6 Cl 2.79-2.88
5 Pu 0.8086 0.1914 0.5000  6 Cl 2.79-2.88
6 Pu 0.8086 0.6172 0.5000  6 Cl 2.79-2.88
7 Cl 0.0802 0.5401 0.2644  2 Pu 2.83
8 Cl 0.1248 0.2497 0.5878  3 Pu 2.86-2.88
9 Cl 0.1248 0.8752 0.5878  3 Pu 2.86-2.88
10 Cl 0.2497 0.1248 0.0878  3 Pu 2.86-2.88
11 Cl 0.3333 0.6667 0.7732  3 Pu 2.79
12 Cl 0.4599 0.5401 0.2644  2 Pu 2.83
13 Cl 0.4599 0.9198 0.2644  2 Pu 2.83
14 Cl 0.5401 0.0802 0.7644  2 Pu 2.83
15 Cl 0.5401 0.4599 0.7644  2 Pu 2.83
16 Cl 0.6667 0.3333 0.2732  3 Pu 2.79
17 Cl 0.7503 0.8752 0.5878  3 Pu 2.86-2.88
18 Cl 0.8752 0.1248 0.0878  3 Pu 2.86-2.88
19 Cl 0.8752 0.7503 0.0878  3 Pu 2.86-2.88
20 Cl 0.9198 0.4599 0.7644  2 Pu 2.83

The value obtained for the formation energy (no corrections) is -1791 kJ/mol of formula units. The calculation puts the density at 6.3 g cm⁻³. The calculation puts the calculated volume at 260 Å³/f.u. As for the space group: No. 186. The value obtained for the magnetization is 1.70 μB per atom.



No. 6
DFT (PBE) results for a relaxed Cs2BaNaF5 crystal.

Unit cell a=8.0555 b=8.0555 c=8.0555 alpha=150.41 beta=132.83 gamma=56.68
Closest atoms and distances in Å follow each position.
Fractional coordinates of all 9 atoms:
1 Cs 0.2020 0.2020 0.0000  7 F 2.86-3.05
2 Cs 0.7980 0.7980 0.0000  7 F 2.86-3.05
3 Ba 0.5000 0.0000 0.5000  10 F 2.93-3.22
4 Na 0.0000 0.5000 0.5000  2 F 2.06
5 F 0.0000 0.0000 0.0000  2 Na 2.06
6 F 0.1732 0.3913 0.7819  1 Na 2.38
7 F 0.3906 0.6087 0.7819  1 Na 2.38
8 F 0.6094 0.3913 0.2181  1 Na 2.38
9 F 0.8268 0.6087 0.2181  1 Na 2.38

The value obtained for the formation energy (no corrections) is -2565 kJ/mol of formula units. The calculation puts the density at 4.6 g cm⁻³. The calculation puts the calculated volume at 188 Å³/f.u. As for the space group: No. 71. The value obtained for the magnetization is 0.00 μB per atom.



No. 7
DFT (PBE) results for a relaxed Ho6Zn2In crystal.

Unit cell a=8.5672 b=8.5672 c=8.5672 alpha=111.19 beta=110.25 gamma=107.00
Closest atoms and distances in Å follow each position.
Fractional coordinates of all 18 atoms:
1 Ho 0.0296 0.8162 0.2134  3 Zn 2.86-3.10
2 Ho 0.2403 0.5336 0.2933  2 Zn 2.88-3.16, 1 In 3.16
3 Ho 0.2403 0.9470 0.7067  2 Zn 2.88-3.16, 1 In 3.16
4 Ho 0.2744 0.3157 0.5902  3 Zn 3.11-3.20, 1 In 3.23
5 Ho 0.2744 0.6843 0.9587  3 Zn 3.11-3.20, 1 In 3.23
6 Ho 0.3972 0.1838 0.2134  3 Zn 2.86-3.10
7 Ho 0.6028 0.8162 0.7866  3 Zn 2.86-3.10
8 Ho 0.7256 0.3157 0.0413  3 Zn 3.11-3.20, 1 In 3.23
9 Ho 0.7256 0.6843 0.4098  3 Zn 3.11-3.20, 1 In 3.23
10 Ho 0.7597 0.0530 0.2933  2 Zn 2.88-3.16, 1 In 3.16
11 Ho 0.7597 0.4664 0.7067  2 Zn 2.88-3.16, 1 In 3.16
12 Ho 0.9704 0.1838 0.7866  3 Zn 2.86-3.10
13 Zn 0.0000 0.1364 0.1364  1 Zn 2.64, 2 Ho 2.88
14 Zn 0.0000 0.8636 0.8636  1 Zn 2.64, 2 Ho 2.88
15 Zn 0.3757 0.3757 0.0000  1 Zn 2.53
16 Zn 0.6243 0.6243 0.0000  1 Zn 2.53
17 In 0.0000 0.5000 0.5000  8 Ho 3.16-3.23, 2 Zn 3.52
18 In 0.5000 0.0000 0.5000  8 Ho 3.32-3.38

The value obtained for the relative energy among the computed polymorphs is 0.0 meV per atom. Its formation energy is -254 meV per atom. The calculation puts the density at 8.5 g cm⁻³. The calculation puts the calculated volume at 242 Å³/f.u. As for the space group: No. 71. The value obtained for the magnetization is 0.00 μB per atom.



No. 8
DFT (PBE) results for a relaxed SrCuTc crystal.

Unit cell a=4.6967 b=4.6967 c=4.6967 alpha=60.00 beta=60.00 gamma=60.00
Closest atoms and distances in Å follow each position.
Fractional coordinates of all 3 atoms:
1 Sr 0.0000 0.0000 0.0000  4 Cu 2.88
2 Cu 0.7500 0.7500 0.7500  4 Sr 2.88, 4 Tc 2.88
3 Tc 0.5000 0.5000 0.5000  4 Cu 2.88

The value obtained for the relative energy among the computed polymorphs is 413.8 meV per atom. Its formation energy is 1030 meV per atom. The calculation puts the density at 5.6 g cm⁻³. The calculation puts the calculated volume at 73 Å³/f.u. As for the space group: No. 216. The value obtained for the magnetization is 0.96 μB per atom.



No. 9
DFT (PBE) results for a relaxed Y2ErMg2 crystal.

Unit cell a=5.9523 b=5.9523 c=5.9523 alpha=127.96 beta=110.64 gamma=91.85
Closest atoms and distances in Å follow each position.
Fractional coordinates of all 5 atoms:
1 Y 0.1974 0.1974 0.0000  6 Mg 3.18-3.39, 1 Y 3.27
2 Y 0.8026 0.8026 0.0000  6 Mg 3.18-3.39, 1 Y 3.27
3 Er 0.5000 0.0000 0.5000  4 Mg 3.27, 4 Y 3.62
4 Mg 0.2102 0.5000 0.7102  1 Mg 2.85, 2 Y 3.18
5 Mg 0.7898 0.5000 0.2898  1 Mg 2.85, 2 Y 3.18

The value obtained for the relative energy among the computed polymorphs is 127.4 meV per atom. Its formation energy is 52 meV per atom. The calculation puts the density at 4.5 g cm⁻³. The calculation puts the calculated volume at 146 Å³/f.u. As for the space group: No. 71. The value obtained for the magnetization is 0.00 μB per atom.



No. 10
DFT (PBE) results for a relaxed BaMgMn4 crystal.

Unit cell a=5.5726 b=5.5726 c=5.5726 alpha=60.00 beta=60.00 gamma=60.00
Closest atoms and distances in Å follow each position.
Fractional coordinates of all 6 atoms:
1 Ba 0.0000 0.0000 0.0000  12 Mn 3.28, 4 Mg 3.41
2 Mg 0.7500 0.7500 0.7500  12 Mn 3.26, 4 Ba 3.41
3 Mn 0.3782 0.3782 0.3782  6 Mn 2.72-2.86
4 Mn 0.3782 0.3782 0.8655  6 Mn 2.72-2.86
5 Mn 0.3782 0.8655 0.3782  6 Mn 2.72-2.86
6 Mn 0.8655 0.3782 0.3782  6 Mn 2.72-2.86

Its formation energy is 598 meV per atom. The calculation puts the density at 5.2 g cm⁻³. The calculation puts the calculated volume at 122 Å³/f.u. As for the space group: No. 216. The value obtained for the magnetization is 2.36 μB per atom.



Copy entry 10 word for word.
DFT (PBE) results for a relaxed BaMgMn4 crystal.

Unit cell a=5.5726 b=5.5726 c=5.5726 alpha=60.00 beta=60.00 gamma=60.00
Closest atoms and distances in Å follow each position.
Fractional coordinates of all 6 atoms:
1 Ba 0.0000 0.0000 0.0000  12 Mn 3.28, 4 Mg 3.41
2 Mg 0.7500 0.7500 0.7500  12 Mn 3.26, 4 Ba 3.41
3 Mn 0.3782 0.3782 0.3782  6 Mn 2.72-2.86
4 Mn 0.3782 0.3782 0.8655  6 Mn 2.72-2.86
5 Mn 0.3782 0.8655 0.3782  6 Mn 2.72-2.86
6 Mn 0.8655 0.3782 0.3782  6 Mn 2.72-2.86

Its formation energy is 598 meV per atom. The calculation puts the density at 5.2 g cm⁻³. The calculation puts the calculated volume at 122 Å³/f.u. As for the space group: No. 216. The value obtained for the magnetization is 2.36 μB per atom.



Q: Look up the magnetization of the first one.
A: 0.00 μB per atom